A relaxed Mg2CrWO6 crystal, computed with PBE+U.

Properties
excess energy over the best structure of this formula in the dataset = 0.00 eV per formula unit
space group = P2_1/c, No. 14
VASP energy = -7.028 eV/atom
size of the total moment = 4.000 μB/f.u.

Cell lengths 5.1953, 5.3548, 9.2112 Å; angles 90.00, 124.22, 90.00 degrees
Closest atoms and distances in Å follow each position.
Element x y z (fractional)
Mg (0.2459, 0.0452, 0.2471)  4 O 2.05-2.11
Mg (0.2459, 0.4548, 0.7471)  4 O 2.05-2.11
Mg (0.7541, 0.5452, 0.2529)  4 O 2.05-2.11
Mg (0.7541, 0.9548, 0.7529)  4 O 2.05-2.11
Cr (0.0000, 0.0000, 0.5000)  6 O 2.02-2.06
Cr (0.0000, 0.5000, 0.0000)  6 O 2.02-2.06
W (0.5000, 0.0000, 0.0000)  6 O 1.97-2.05
W (0.5000, 0.5000, 0.5000)  6 O 1.97-2.05
O (0.1266, 0.0787, 0.7510)  1 W 2.05, 2 Mg 2.05-2.11, 1 Cr 2.06
O (0.1266, 0.4213, 0.2510)  1 W 2.05, 2 Mg 2.05-2.11, 1 Cr 2.06
O (0.2412, 0.6768, 0.5611)  1 W 1.97, 1 Cr 2.02, 1 Mg 2.07
O (0.2412, 0.8232, 0.0611)  1 W 1.97, 1 Cr 2.02, 1 Mg 2.07
O (0.3958, 0.1806, 0.5722)  1 W 2.02, 1 Cr 2.02, 1 Mg 2.05
O (0.3958, 0.3194, 0.0722)  1 W 2.02, 1 Cr 2.02, 1 Mg 2.05
O (0.6042, 0.6806, 0.9278)  1 W 2.02, 1 Cr 2.02, 1 Mg 2.05
O (0.6042, 0.8194, 0.4278)  1 W 2.02, 1 Cr 2.02, 1 Mg 2.05
O (0.7588, 0.1768, 0.9389)  1 W 1.97, 1 Cr 2.02, 1 Mg 2.07
O (0.7588, 0.3232, 0.4389)  1 W 1.97, 1 Cr 2.02, 1 Mg 2.07
O (0.8734, 0.5787, 0.7490)  1 W 2.05, 2 Mg 2.05-2.11, 1 Cr 2.06
O (0.8734, 0.9213, 0.2490)  1 W 2.05, 2 Mg 2.05-2.11, 1 Cr 2.06